Sr2Pd2S | PBE-GGA | optimized geometry

Values from the calculation:
Spin magnetization = 0.000 μB/atom
DOS(E_F) = 0.03 states/eV/cell
Uncorrected formation energy = -0.72 eV/atom
E_tot = -42.93 eV per cell

Cell lengths 7.653, 7.653, 4.112 Å; angles 90.00, 90.00, 90.00 degrees
Space group P4/mbm (No. 127)
Asymmetric unit:
Sr  0.185  0.315  0.000 [4 per cell]
Pd  0.122  0.622  0.500 [4 per cell]
S  0.000  0.000  0.500 [2 per cell]

Ca2VIn | PBE-GGA | optimized geometry

Values from the calculation:
Spin magnetization = 0.909 μB/atom
DOS(E_F) = 10.02 states/eV/cell
ΔH_f (0 K) = 0.480 eV/atom
E_tot = -55.75 eV per cell

Cell lengths 8.523, 8.523, 6.254 Å; angles 90.00, 90.00, 90.00 degrees
Space group I-42d (No. 122)
Asymmetric unit:
Ca  0.240  0.250  0.125 [8 per cell]
V  0.000  0.000  0.000 [4 per cell]
In  0.000  0.000  0.500 [4 per cell]

K3TcS | PBE-GGA | optimized geometry

Values from the calculation:
Spin magnetization = 0.800 μB/atom
DOS(E_F) = 6.24 states/eV/cell
Distance to the lowest polymorph of the same formula = 0 meV per atom
Uncorrected formation energy = 0.45 eV/atom
E_tot = -15.52 eV per cell

Cell lengths 6.071, 6.071, 6.071 Å; angles 90.00, 90.00, 90.00 degrees
Space group Pm-3m (No. 221)
Asymmetric unit:
K  0.000  0.000  0.500 [3 per cell]
Tc  0.500  0.500  0.500 [1 per cell]
S  0.000  0.000  0.000 [1 per cell]

Tl2InRe | PBE-GGA | optimized geometry

Values from the calculation:
Spin magnetization = 0.296 μB/atom
DOS(E_F) = 6.70 states/eV/cell
ΔH_f (0 K) = 0.928 eV/atom
Distance to the lowest polymorph of the same formula = 368 meV per atom
E_tot = -32.42 eV per cell

Cell lengths 6.116, 10.572, 3.255 Å; angles 90.00, 121.59, 90.00 degrees
Space group C2/m (No. 12)
Asymmetric unit:
Tl  0.250  0.250  0.000 [4 per cell]
In  0.000  0.000  0.000 [2 per cell]
Re  0.000  0.500  0.000 [2 per cell]

CrFe4H5 | PBE-GGA | optimized geometry

Values from the calculation:
Spin magnetization = 0.448 μB/atom
DOS(E_F) = 10.31 states/eV/cell
E_tot = -120.80 eV per cell

Cell lengths 5.910, 5.910, 3.739 Å; angles 90.00, 90.00, 90.00 degrees
Space group I4/m (No. 87)
Asymmetric unit:
Cr  0.000  0.000  0.000 [2 per cell]
Fe  0.104  0.703  0.500 [8 per cell]
H  0.000  0.000  0.500 [2 per cell]
H  0.105  0.685  0.000 [8 per cell]

UTlInAu | PBE-GGA | optimized geometry

Values from the calculation:
Spin magnetization = 0.735 μB/atom
DOS(E_F) = 28.60 states/eV/cell
ΔH_f (0 K) = 0.073 eV/atom
E_tot = -77.52 eV per cell

Cell lengths 7.273, 7.273, 7.273 Å; angles 90.00, 90.00, 90.00 degrees
Space group F-43m (No. 216)
Asymmetric unit:
U  0.000  0.000  0.000 [4 per cell]
Tl  0.250  0.250  0.750 [4 per cell]
In  0.000  0.000  0.500 [4 per cell]
Au  0.250  0.250  0.250 [4 per cell]

Be2TcIr | PBE-GGA | optimized geometry

Values from the calculation:
Spin magnetization = 0.000 μB/atom
DOS(E_F) = 6.74 states/eV/cell
ΔH_f (0 K) = -0.066 eV/atom
Distance to the lowest polymorph of the same formula = 276 meV per atom
E_tot = -53.89 eV per cell

Cell lengths 2.958, 4.363, 7.397 Å; angles 90.00, 90.00, 90.00 degrees
Space group Cmmm (No. 65)
Asymmetric unit:
Be  0.000  0.000  0.244 [4 per cell]
Tc  0.000  0.500  0.500 [2 per cell]
Ir  0.000  0.500  0.000 [2 per cell]

KRbLi2Cl4 | PBE-GGA | optimized geometry

Values from the calculation:
Spin magnetization = 0.000 μB/atom
DOS(E_F) = 0.00 states/eV/cell
Uncorrected formation energy = -1.80 eV/atom
E_tot = -27.67 eV per cell

Cell lengths 5.030, 5.030, 8.668 Å; angles 90.00, 90.00, 90.00 degrees
Space group P4/mmm (No. 123)
Asymmetric unit:
K  0.000  0.000  0.000 [1 per cell]
Rb  0.000  0.000  0.500 [1 per cell]
Li  0.500  0.500  0.238 [2 per cell]
Cl  0.000  0.500  0.240 [4 per cell]

DyYScTl | PBE-GGA | optimized geometry

Values from the calculation:
Spin magnetization = 0.369 μB/atom
DOS(E_F) = 22.09 states/eV/cell
ΔH_f (0 K) = -0.068 eV/atom
Distance to the lowest polymorph of the same formula = 112 meV per atom
E_tot = -80.15 eV per cell

Cell lengths 7.593, 7.593, 7.593 Å; angles 90.00, 90.00, 90.00 degrees
Space group F-43m (No. 216)
Asymmetric unit:
Dy  0.000  0.000  0.000 [4 per cell]
Y  0.000  0.000  0.500 [4 per cell]
Sc  0.250  0.250  0.750 [4 per cell]
Tl  0.250  0.250  0.250 [4 per cell]

Cs2TlI6Cl | PBE-GGA | optimized geometry

Values from the calculation:
Spin magnetization = 0.000 μB/atom
DOS(E_F) = 10.86 states/eV/cell
Uncorrected formation energy = -0.65 eV/atom
E_tot = -43.51 eV per cell

Cell lengths 8.419, 8.419, 13.238 Å; angles 90.00, 90.00, 90.00 degrees
Space group I4/mmm (No. 139)
Asymmetric unit:
Cs  0.000  0.500  0.250 [4 per cell]
Tl  0.000  0.000  0.000 [2 per cell]
I  0.000  0.000  0.231 [4 per cell]
I  0.248  0.248  0.500 [8 per cell]
Cl  0.000  0.000  0.500 [2 per cell]

AcY4Cu5 | PBE-GGA | optimized geometry

Values from the calculation:
Spin magnetization = 0.000 μB/atom
DOS(E_F) = 5.08 states/eV/cell
ΔH_f (0 K) = -0.200 eV/atom
E_tot = -52.45 eV per cell

Cell lengths 3.529, 3.529, 17.874 Å; angles 90.00, 90.00, 90.00 degrees
Space group P4/mmm (No. 123)
Asymmetric unit:
Ac  0.000  0.000  0.000 [1 per cell]
Y  0.000  0.000  0.209 [2 per cell]
Y  0.000  0.000  0.403 [2 per cell]
Cu  0.500  0.500  0.119 [2 per cell]
Cu  0.500  0.500  0.306 [2 per cell]
Cu  0.500  0.500  0.500 [1 per cell]

Dy7Er12Pu | PBE-GGA | optimized geometry

Values from the calculation:
Spin magnetization = 0.169 μB/atom
DOS(E_F) = 115.67 states/eV/cell
ΔH_f (0 K) = 0.255 eV/atom
E_tot = -288.61 eV per cell

Cell lengths 12.2085, 12.2085, 14.7779 Å; angles 90.00, 90.00, 120.00 degrees
Space group R-3 (No. 148, hexagonal axes)
Asymmetric unit:
Dy  0.0000  0.0000  0.0000 [3 per cell]
Dy  0.0677  0.2312  0.4053 [18 per cell]
Er  0.0222  0.5849  0.7093 [18 per cell]
Er  0.0388  0.8533  0.8108 [18 per cell]
Pu  0.0000  0.0000  0.5000 [3 per cell]